The following is a PBE calculation of an optimized crystal structure of LaPOsCl2, from the Alexandria database.

Values from the calculation:
crystal system = tetragonal
ΔE_f (raw) = -0.376 eV per atom
symmetry = P4/mmm
volume = 108.51 Å³ per cell
relative energy among the computed polymorphs = 0 meV per atom

Cell: 4.8438 4.8438 4.6246 Å, 90.00 90.00 90.00°
Last column: nearest neighbours and their distance in Å.
Sites, in units of the cell vectors:
P 0.0000 0.0000 0.5000  2 Os 2.31
Cl 0.0000 0.5000 0.0000  2 Os 2.42
Cl 0.5000 0.0000 0.0000  2 Os 2.42
Os 0.0000 0.0000 0.0000  2 P 2.31, 4 Cl 2.42
La 0.5000 0.5000 0.5000  8 Cl 3.35, 4 P 3.43